Entry 1:
CaAcCu3 after structural relaxation, computed with GGA-PBE.

abc: 4.118 26.068 4.341
angles: 90.00 90.00 90.00
Space group Cmcm (No. 63)
Inequivalent atoms, fractional coordinates:
Ca 0.000 0.205 0.250 x4
Ac 0.000 0.073 0.750 x4
Cu 0.000 0.329 0.250 x4
Cu 0.000 0.378 0.750 x4
Cu 0.000 0.475 0.750 x4

Properties
mass density = 6.524 Mg/m³
ΔH_f (0 K) = -0.180 eV/atom
size of the total moment = 0.00 Bohr magnetons per cell


Entry 2:
TbPuSi after structural relaxation, computed with GGA-PBE.

abc: 3.5951 3.5951 7.0447
angles: 90.00 90.00 120.00
Space group P3m1 (No. 156)
Inequivalent atoms, fractional coordinates:
Tb 0.0000 0.0000 0.0000 x1
Pu 0.3333 0.6667 0.5646 x1
Si 0.6667 0.3333 0.2852 x1

Properties
mass density = 9.076 Mg/m³
ΔE_f (raw) = -0.068 eV per atom
size of the total moment = 6.06 Bohr magnetons per cell


Entry 3:
TcPbCl2 after structural relaxation, computed with GGA-PBE.

abc: 10.366 3.220 6.876
angles: 90.00 113.77 90.00
Space group Cm (No. 8)
Inequivalent atoms, fractional coordinates:
Tc 0.000 0.000 0.000 x2
Pb 0.277 0.000 0.001 x2
Cl 0.109 0.500 0.291 x2
Cl 0.452 0.000 0.708 x2

Properties
mass density = 5.947 Mg/m³
ΔE_f (raw) = -0.169 eV per atom
size of the total moment = 0.00 Bohr magnetons per cell


Entry 4:
TbErTm2Rh4 after structural relaxation, computed with GGA-PBE.

abc: 4.8037 4.8037 23.5550
angles: 90.00 90.00 120.00
Space group R-3m (No. 166, hexagonal axes)
Inequivalent atoms, fractional coordinates:
Tb 0.0000 0.0000 0.0000 x3
Er 0.0000 0.0000 0.5000 x3
Tm 0.0000 0.0000 0.2495 x6
Rh 0.0000 0.0000 0.1256 x6
Rh 0.0000 0.0000 0.3757 x6

Properties
mass density = 11.384 Mg/m³
ΔH_f (0 K) = -0.934 eV/atom
size of the total moment = 0.00 Bohr magnetons per cell


Entry 5:
HoPdSe2 after structural relaxation, computed with GGA-PBE.

abc: 3.7933 3.7933 24.7937
angles: 90.00 90.00 120.00
Space group R-3m (No. 166, hexagonal axes)
Inequivalent atoms, fractional coordinates:
Ho 0.0000 0.0000 0.0000 x3
Pd 0.0000 0.0000 0.5000 x3
Se 0.0000 0.0000 0.1120 x6

Properties
mass density = 6.921 Mg/m³
ΔE_f (raw) = -0.372 eV per atom
size of the total moment = 0.00 Bohr magnetons per cell


Entry 6:
AlPbCl4 after structural relaxation, computed with GGA-PBE.

abc: 8.542 8.542 8.542
angles: 90.00 90.00 90.00
Space group F-43m (No. 216)
Inequivalent atoms, fractional coordinates:
Al 0.000 0.000 0.000 x4
Pb 0.250 0.250 0.250 x4
Cl 0.125 0.125 0.625 x16

Properties
mass density = 4.007 Mg/m³
ΔE_f (raw) = 0.145 eV per atom
size of the total moment = 4.18 Bohr magnetons per cell


Entry 7:
SnP2PdS after structural relaxation, computed with GGA-PBE.

abc: 5.010 5.010 4.898
angles: 90.00 90.00 90.00
Space group P4/mmm (No. 123)
Inequivalent atoms, fractional coordinates:
Sn 0.000 0.000 0.000 x1
P 0.000 0.500 0.000 x2
Pd 0.500 0.500 0.500 x1
S 0.000 0.000 0.500 x1

Properties
mass density = 4.310 Mg/m³
ΔE_f (raw) = 1.182 eV per atom
size of the total moment = 0.00 Bohr magnetons per cell


Entry 8:
ThMnFe10 after structural relaxation, computed with GGA-PBE.

abc: 4.029 4.876 8.455
angles: 90.00 90.00 90.00
Space group Pmmm (No. 47)
Inequivalent atoms, fractional coordinates:
Th 0.000 0.000 0.000 x1
Mn 0.000 0.500 0.500 x1
Fe 0.000 0.000 0.345 x2
Fe 0.000 0.500 0.183 x2
Fe 0.500 0.000 0.500 x1
Fe 0.500 0.254 0.262 x4
Fe 0.500 0.500 0.000 x1

Properties
mass density = 8.452 Mg/m³
ΔH_f (0 K) = 0.150 eV/atom
size of the total moment = 23.81 Bohr magnetons per cell


Entry 9:
InReSb after structural relaxation, computed with GGA-PBE.

abc: 4.9375 4.9375 2.8905
angles: 90.00 90.00 120.00
Space group P-6m2 (No. 187)
Inequivalent atoms, fractional coordinates:
In 0.0000 0.0000 0.0000 x1
Re 0.6667 0.3333 0.5000 x1
Sb 0.3333 0.6667 0.5000 x1

Properties
mass density = 11.504 Mg/m³
ΔE_f (raw) = 0.742 eV per atom
size of the total moment = 0.00 Bohr magnetons per cell


Entry 10:
InSn2BiH after structural relaxation, computed with GGA-PBE.

abc: 4.969 4.969 4.812
angles: 90.00 90.00 90.00
Space group P4/mmm (No. 123)
Inequivalent atoms, fractional coordinates:
In 0.000 0.000 0.000 x1
Sn 0.000 0.500 0.500 x2
Bi 0.500 0.500 0.000 x1
H 0.000 0.000 0.500 x1

Properties
mass density = 7.857 Mg/m³
size of the total moment = 0.00 Bohr magnetons per cell
VASP energy = -3.35 eV/atom


Entry 11:
YTcIr2 after structural relaxation, computed with GGA-PBE.

abc: 2.900 3.831 6.200
angles: 90.00 90.00 90.00
Space group Pmmm (No. 47)
Inequivalent atoms, fractional coordinates:
Y 0.000 0.000 0.000 x1
Tc 0.000 0.000 0.500 x1
Ir 0.500 0.500 0.287 x2

Properties
mass density = 13.774 Mg/m³
ΔH_f (0 K) = -0.182 eV/atom
size of the total moment = 0.00 Bohr magnetons per cell


Entry 12:
Hf2NiAs after structural relaxation, computed with GGA-PBE.

abc: 7.067 7.067 5.935
angles: 90.00 90.00 90.00
Space group I-42d (No. 122)
Inequivalent atoms, fractional coordinates:
Hf 0.232 0.250 0.125 x8
Ni 0.000 0.000 0.000 x4
As 0.000 0.000 0.500 x4

Properties
mass density = 10.993 Mg/m³
ΔH_f (0 K) = -0.294 eV/atom
size of the total moment = 0.00 Bohr magnetons per cell